1.
AlZnCd PBEsol relaxed; energy above the most stable polymorph in this dataset = 18.3 meV per atom; calculated formation energy = 0.13 eV/atom; magnetic moment = 0.0 μB/cell
1.0
2.879 -0.245 0.000
-1.360 2.549 0.000
-0.759 -1.152 7.666
Zn Al Cd
1 1 1
Direct
0.662 0.662 0.324 Zn
0.008 0.008 0.017 Al
0.330 0.330 0.659 Cd


2.
LiYCl2 PBEsol relaxed; energy above the most stable polymorph in this dataset = 153.3 meV per atom; magnetic moment = 0.0 μB/cell; formation energy (no corrections) = -1.41 eV/atom
1.0
-2.731 -2.211 0.002
-0.279 -2.446 2.507
-5.414 3.899 5.665
Cl Li Y
2 1 1
Direct
0.094 0.094 0.719 Cl
0.906 0.906 0.281 Cl
0.000 0.000 0.000 Li
0.500 0.500 0.500 Y